No. 1
20
Lattice="7.037 0.000 0.000 0.000 6.930 0.000 -0.309 0.000 12.613" Properties=species:S:1:pos:R:3 comment="La3CeCo PBE relaxed" dos_at_fermi_per_ev_cell=35.70 e_tot_ev_per_atom=-5.60 mass_density_g_cm3=6.65 pbc="T T T"
La 0.585 1.665 5.822
La 0.430 5.265 12.129
La 1.690 3.421 2.672
La 1.536 3.510 8.979
La 2.472 1.703 12.050
La 2.626 5.227 5.744
La 4.102 1.703 6.870
La 4.257 5.227 0.563
La 5.193 3.421 3.634
La 5.038 3.510 9.941
La 6.298 1.665 0.484
La 6.144 5.265 6.791
Ce 1.575 0.035 9.079
Ce 1.729 6.896 2.772
Ce 4.999 0.035 9.841
Ce 5.154 6.896 3.534
Co 2.928 1.224 4.384
Co 2.773 5.706 10.691
Co 3.955 1.224 1.923
Co 3.801 5.706 8.229


No. 2
7
Lattice="5.869 -1.822 0.000 5.869 1.822 0.000 -3.169 0.000 8.145" Properties=species:S:1:pos:R:3 comment="La2Ce3Co2 PBE relaxed" dos_at_fermi_per_ev_cell=11.04 e_tot_ev_per_atom=-6.12 mass_density_g_cm3=7.78 pbc="T T T"
La 1.017 0.000 2.402
La 7.553 0.000 5.743
Ce 4.225 0.000 0.570
Ce 4.285 0.000 4.073
Ce 4.344 0.000 7.575
Co -0.886 0.000 5.842
Co 9.456 0.000 2.303